# InIrRu | Alexandria | PBE | relaxed
data_InIrRu
_cell_length_a 2.8754
_cell_length_b 2.8754
_cell_length_c 11.8096
_cell_angle_alpha 90.00
_cell_angle_beta 90.00
_cell_angle_gamma 90.00
_symmetry_space_group_name_H-M 'I 4 m m'
_symmetry_Int_Tables_number 107
_symmetry_space_group_name_Hall 'I 4 -2'
loop_
_atom_site_label
_atom_site_type_symbol
_atom_site_fract_x
_atom_site_fract_y
_atom_site_fract_z
In1 In 0.0000 0.0000 0.0000
Ir1 Ir 0.0000 0.0000 0.3185
Ru1 Ru 0.0000 0.0000 0.6767
# electronic total energy = -6.89 eV per atom
# ΔE to the lowest computed polymorph = 0.0 kJ per mole of atoms
# ΔH_f (0 K) = 0.070 eV per atom
# volume = 16.3 Å³ per atom
# DOS at the Fermi energy = 4.7 states/eV/cell